(1)
Compound: Pm3Pt2Cl
Source: the Alexandria database
Functional: PBE
Structure: relaxed

It has space group Cmcm (No. 63), with a = 4.4350 Å, b = 14.8097 Å, c = 9.7706 Å, α = 90.00°, β = 90.00° and γ = 90.00°. The inequivalent atoms are Pm at (0.0000, 0.1204, 0.0479), Pm at (0.0000, 0.3651, 0.2500), Pt at (0.0000, 0.0243, 0.7500), Pt at (0.0000, 0.5000, 0.0000) and Cl at (0.0000, 0.2829, 0.7500).

The density comes out at 8.908 Mg/m³. The uncorrected formation energy comes out at -5.6 eV per formula unit. For the total magnetization, the calculation gives 0.00 Bohr magnetons per cell. Its total energy is -5.63 eV per atom.

(2)
Compound: Er2CuGe4Rh3
Source: the Alexandria database
Functional: PBE
Structure: relaxed

It has space group P-4m2 (No. 115), with a = 4.1636 Å, b = 4.1636 Å, c = 10.2257 Å, α = 90.00°, β = 90.00° and γ = 90.00°. The inequivalent atoms are Er at (0.0000, 0.5000, 0.2464), Cu at (0.0000, 0.0000, 0.5000), Ge at (0.0000, 0.0000, 0.0000), Ge at (0.0000, 0.5000, 0.6327), Ge at (0.5000, 0.5000, 0.0000), Rh at (0.0000, 0.5000, 0.8688) and Rh at (0.5000, 0.5000, 0.5000).

The density comes out at 9.342 Mg/m³. For the total magnetization, the calculation gives 0.00 Bohr magnetons per cell. Its total energy is -6.08 eV per atom. Its energy of formation from the pure elements is -0.705 eV per atom.

(3)
Compound: Pm7Dy4Ho
Source: the Alexandria database
Functional: PBE
Structure: relaxed

It has space group C2/m (No. 12), with a = 16.1530 Å, b = 5.9752 Å, c = 9.3664 Å, α = 90.00°, β = 116.12° and γ = 90.00°. The inequivalent atoms are Pm at (0.0000, 0.0000, 0.0000), Pm at (0.0831, 0.5000, 0.4434), Pm at (0.2092, 0.5000, 0.2313), Pm at (0.2109, 0.5000, 0.8804), Dy at (0.0722, 0.0000, 0.6981), Dy at (0.1723, 0.0000, 0.3879) and Ho at (0.0000, 0.5000, 0.0000).

The density comes out at 7.487 Mg/m³. The value obtained for the energy above the lowest structure with this stoichiometry is 2.57 eV per formula unit. For the total magnetization, the calculation gives 0.38 Bohr magnetons per cell. Its total energy is -4.47 eV per atom. Its energy of formation from the pure elements is 0.220 eV per atom.

(4)
Compound: Ba2PmGe3Pt4
Source: the Alexandria database
Functional: PBE
Structure: relaxed

It has space group P-4m2 (No. 115), with a = 4.5473 Å, b = 4.5473 Å, c = 11.1446 Å, α = 90.00°, β = 90.00° and γ = 90.00°. The inequivalent atoms are Ba at (0.0000, 0.5000, 0.2321), Pm at (0.0000, 0.0000, 0.5000), Ge at (0.0000, 0.5000, 0.8883), Ge at (0.5000, 0.5000, 0.5000), Pt at (0.0000, 0.0000, 0.0000), Pt at (0.0000, 0.5000, 0.6571) and Pt at (0.5000, 0.5000, 0.0000).

The density comes out at 10.217 Mg/m³. For the total magnetization, the calculation gives 0.00 Bohr magnetons per cell. Its total energy is -5.46 eV per atom. Its energy of formation from the pure elements is -0.799 eV per atom.

(5)
Compound: Te2WBr
Source: the Alexandria database
Functional: PBE
Structure: relaxed

It has space group P4/mmm (No. 123), with a = 5.2895 Å, b = 5.2895 Å, c = 3.2463 Å, α = 90.00°, β = 90.00° and γ = 90.00°. The inequivalent atoms are Te at (0.0000, 0.5000, 0.0000), W at (0.0000, 0.0000, 0.5000) and Br at (0.5000, 0.5000, 0.5000).

The density comes out at 9.488 Mg/m³. The value obtained for the energy above the lowest structure with this stoichiometry is 3.81 eV per formula unit. The uncorrected formation energy comes out at 4.1 eV per formula unit. For the total magnetization, the calculation gives 1.25 Bohr magnetons per cell. Its total energy is -4.20 eV per atom.

(6)
Compound: CeTlAu2
Source: the Alexandria database
Functional: PBE
Structure: relaxed

It has space group P4/mmm (No. 123), with a = 4.9269 Å, b = 4.9269 Å, c = 4.0042 Å, α = 90.00°, β = 90.00° and γ = 90.00°. The inequivalent atoms are Ce at (0.0000, 0.0000, 0.0000), Tl at (0.5000, 0.5000, 0.0000) and Au at (0.0000, 0.5000, 0.5000).

The density comes out at 12.616 Mg/m³. The value obtained for the energy above the lowest structure with this stoichiometry is 0.56 eV per formula unit. For the total magnetization, the calculation gives 1.00 Bohr magnetons per cell. Its total energy is -4.08 eV per atom. Its energy of formation from the pure elements is -0.370 eV per atom.

(7)
Compound: Th3GaSi
Source: the Alexandria database
Functional: PBE
Structure: relaxed

It has space group P-1 (No. 2), with a = 6.0444 Å, b = 7.1008 Å, c = 7.6929 Å, α = 115.84°, β = 92.64° and γ = 110.68°. The inequivalent atoms are Th at (0.1316, 0.0046, 0.2316), Th at (0.1722, 0.5485, 0.7050), Th at (0.3641, 0.5447, 0.1932), Ga at (0.2985, 0.9186, 0.5642) and Si at (0.4059, 0.0936, 0.9353).

The density comes out at 9.763 Mg/m³. The uncorrected formation energy comes out at -1.8 eV per formula unit. For the total magnetization, the calculation gives 0.00 Bohr magnetons per cell. Its total energy is -6.50 eV per atom.

(8)
Compound: Ac2GeCl
Source: the Alexandria database
Functional: PBE
Structure: relaxed

It has space group P2_1/m (No. 11), with a = 6.3144 Å, b = 4.6255 Å, c = 8.8977 Å, α = 90.00°, β = 90.19° and γ = 90.00°. The inequivalent atoms are Ac at (0.2486, 0.2500, 0.1341), Ac at (0.2503, 0.2500, 0.6076), Ge at (0.2495, 0.7500, 0.3590) and Cl at (0.2519, 0.7500, 0.8718).

The density comes out at 7.183 Mg/m³. The value obtained for the energy above the lowest structure with this stoichiometry is 0.09 eV per formula unit. The uncorrected formation energy comes out at -4.9 eV per formula unit. For the total magnetization, the calculation gives 0.00 Bohr magnetons per cell. Its total energy is -4.89 eV per atom.

(9)
Compound: Be4Ir3Pd
Source: the Alexandria database
Functional: PBE
Structure: relaxed

It has space group P4/mmm (No. 123), with a = 2.8172 Å, b = 2.8172 Å, c = 11.2399 Å, α = 90.00°, β = 90.00° and γ = 90.00°. The inequivalent atoms are Be at (0.0000, 0.0000, 0.1254), Be at (0.0000, 0.0000, 0.3633), Ir at (0.5000, 0.5000, 0.0000), Ir at (0.5000, 0.5000, 0.2488) and Pd at (0.5000, 0.5000, 0.5000).

The density comes out at 13.386 Mg/m³. For the total magnetization, the calculation gives 0.00 Bohr magnetons per cell. Its total energy is -6.42 eV per atom. Its energy of formation from the pure elements is -0.588 eV per atom.

(10)
Compound: Rb2Er2SbS6
Source: the Alexandria database
Functional: PBE
Structure: relaxed

It has space group C2/m (No. 12), with a = 6.8670 Å, b = 11.8658 Å, c = 8.2242 Å, α = 90.00°, β = 106.27° and γ = 90.00°. The inequivalent atoms are Rb at (0.0000, 0.1680, 0.0000), Er at (0.0000, 0.3331, 0.5000), Sb at (0.0000, 0.0000, 0.5000), S at (0.2255, 0.1634, 0.6853) and S at (0.2375, 0.5000, 0.6847).

The density comes out at 4.231 Mg/m³. The uncorrected formation energy comes out at -15.2 eV per formula unit. For the total magnetization, the calculation gives 0.00 Bohr magnetons per cell. Its total energy is -5.02 eV per atom.

(11)
Compound: KAlGe2Pb
Source: the Alexandria database
Functional: PBE
Structure: relaxed

It has space group P4/mmm (No. 123), with a = 5.5137 Å, b = 5.5137 Å, c = 5.5652 Å, α = 90.00°, β = 90.00° and γ = 90.00°. The inequivalent atoms are K at (0.0000, 0.0000, 0.0000), Al at (0.0000, 0.0000, 0.5000), Ge at (0.0000, 0.5000, 0.0000) and Pb at (0.5000, 0.5000, 0.5000).

The density comes out at 4.108 Mg/m³. For the total magnetization, the calculation gives 0.00 Bohr magnetons per cell. Its total energy is -2.26 eV per atom. Its energy of formation from the pure elements is 1.294 eV per atom.

(12)
Compound: Nd2Ir7
Source: the Alexandria database
Functional: PBE
Structure: relaxed

It has space group R-3m (No. 166, hexagonal axes), with a = 5.3718 Å, b = 5.3718 Å, c = 39.5587 Å, α = 90.00°, β = 90.00° and γ = 120.00°. The inequivalent atoms are Nd at (0.0000, 0.0000, 0.0501), Nd at (0.0000, 0.0000, 0.1476), Ir at (0.0000, 0.0000, 0.2778), Ir at (0.0000, 0.0000, 0.3885), Ir at (0.0000, 0.0000, 0.5000), Ir at (0.0000, 0.5000, 0.0000) and Ir at (0.0012, 0.5006, 0.1092).

The density comes out at 16.468 Mg/m³. For the total magnetization, the calculation gives 0.00 Bohr magnetons per cell. Its total energy is -8.39 eV per atom. Its energy of formation from the pure elements is -0.434 eV per atom.

Computed calculated volume, in the same sequence as the records: 160.4; 177.3; 405.9; 230.4; 90.8; 97.2; 135.0; 129.9; 89.2; 321.7; 169.2; 164.8 Å³/f.u..